Entry 1:
## BaCaSe (PBE-GGA)

Data for a relaxed BaCaSe crystal.

Lattice parameters (Å, degrees): 4.733 4.733 12.614 79.19 79.19 60.00
Last column: magnetic moment on the atom in μB.
Fractional positions:
Ba  0.886  0.886  0.341  0.11
Ba  0.114  0.114  0.659  0.11
Se  0.280  0.280  0.161  0.00
Se  0.720  0.720  0.839  0.00
Ca  0.636  0.636  0.091  0.01
Ca  0.364  0.364  0.909  0.01

- Calculated total energy: -21.63 eV per cell
- Theoretical density: 3.6 g/cm3
- E above lowest polymorph: 1.74 kcal/mol of atoms
- V: 238.9 Å³/cell
- Formation energy (no corrections): -3.4 eV/f.u.
- Symmetry: R-3m, No. 166


Entry 2:
## BaCa2Se (PBE-GGA)

Data for a relaxed BaCa2Se crystal.

Lattice parameters (Å, degrees): 5.942 5.942 5.942 60.00 60.00 60.00
Fractional positions:
Ba  0.500  0.500  0.500
Ca  0.000  0.000  0.000
Ca  0.250  0.250  0.250
Se  0.750  0.750  0.750

- Calculated total energy: -10.80 eV per cell
- Theoretical density: 3.3 g/cm3
- V: 148.3 Å³/cell
- Formation energy (no corrections): -1.4 eV/f.u.
- Symmetry: F-43m, No. 216


Entry 3:
## BaCa3Se (PBE-GGA)

Data for a relaxed BaCa3Se crystal.

Lattice parameters (Å, degrees): 5.944 5.944 5.944 90.00 90.00 90.00
Fractional positions:
Ca  0.500  0.000  0.000
Ca  0.000  0.500  0.000
Ca  0.000  0.000  0.500
Se  0.000  0.000  0.000
Ba  0.500  0.500  0.500

- Calculated total energy: -14.37 eV per cell
- Theoretical density: 2.7 g/cm3
- E above lowest polymorph: 0.00 kcal/mol of atoms
- V: 210.0 Å³/cell
- Formation energy (no corrections): -3.0 eV/f.u.
- Symmetry: Pm-3m, No. 221